{"formula": "PrBr4", "functional": "PBE", "state": "optimized geometry", "lattice_angstrom": [[-3.726, 3.943, 2.128], [-1.072, -3.472, 4.555], [4.350, 2.522, 2.946]], "species": ["Br", "Br", "Br", "Pr", "Br"], "fractional_positions": [[0.000, 0.500, 0.500], [0.500, 0.500, 0.000], [0.500, 0.000, 0.500], [0.500, 0.500, 0.500], [0.000, 0.000, 0.000]], "space_group": "Pm-3m, No. 221", "dos_ef_per_ev_cell": 8.2, "final_energy_ev_per_atom": -3.481, "formation_energy_uncorrected_ev_per_fu": -5.9, "crystal_system": "cubic"}

---

{"formula": "PrPtBr", "functional": "PBE", "state": "optimized geometry", "lattice_angstrom": [[4.203, 0.000, 0.000], [2.102, 3.590, -0.601], [2.102, -0.693, 12.990]], "species": ["Br", "Pt", "Pt", "Br", "Pr", "Pr"], "fractional_positions": [[0.699, 0.764, 0.839], [0.614, 0.213, 0.559], [0.386, 0.787, 0.441], [0.301, 0.236, 0.161], [0.166, 0.980, 0.688], [0.834, 0.020, 0.312]], "space_group": "C2/m, No. 12", "final_energy_ev_per_atom": -5.451, "formation_energy_uncorrected_ev_per_fu": -3.9, "crystal_system": "monoclinic"}

---

{"formula": "Pr4Pt2Br5", "functional": "PBE", "state": "optimized geometry", "lattice_angstrom": [[-3.540, -0.207, 1.901], [-1.308, -7.728, -3.279], [8.632, -1.725, 11.629]], "species": ["Pr", "Br", "Br", "Pr", "Br", "Br", "Pt", "Br", "Pr", "Pt", "Pr"], "fractional_positions": [[0.000, 0.705, 0.000], [0.822, 0.087, 0.643], [0.500, 0.000, 0.000], [0.650, 0.650, 0.301], [0.178, 0.444, 0.357], [0.822, 0.556, 0.643], [0.550, 0.550, 0.099], [0.178, 0.913, 0.357], [0.000, 0.295, 0.000], [0.450, 0.450, 0.901], [0.350, 0.350, 0.699]], "space_group": "Immm, No. 71", "dos_ef_per_ev_cell": 7.9, "final_energy_ev_per_atom": -4.966, "formation_energy_uncorrected_ev_per_fu": -15.1, "crystal_system": "orthorhombic"}

---

{"formula": "PrPtBr", "functional": "PBE", "state": "optimized geometry", "lattice_angstrom": [[3.929, 0.000, 0.000], [0.000, 4.167, 0.000], [-1.964, 0.000, 11.384]], "species": ["Pt", "Br", "Pr", "Br", "Pr", "Pt"], "fractional_positions": [[0.464, 0.750, 0.928], [0.824, 0.750, 0.648], [0.084, 0.750, 0.167], [0.176, 0.250, 0.352], [0.916, 0.250, 0.833], [0.536, 0.250, 0.072]], "space_group": "Cmcm, No. 63", "dos_ef_per_ev_cell": 0.6, "final_energy_ev_per_atom": -5.395, "formation_energy_uncorrected_ev_per_fu": -3.7, "crystal_system": "orthorhombic"}

---

{"formula": "Pr4Pt2Br3", "functional": "PBE", "state": "optimized geometry", "lattice_angstrom": [[4.216, 0.000, 0.004], [-2.108, 3.652, -0.004], [-0.003, 0.002, 18.844]], "species": ["Pr", "Br", "Pr", "Pt", "Pr", "Br", "Pt", "Pr", "Br"], "fractional_positions": [[0.667, 0.333, 0.125], [0.666, 0.334, 0.401], [0.000, 0.000, 0.299], [0.333, 0.667, 0.207], [0.000, 0.000, 0.701], [0.334, 0.666, 0.599], [0.667, 0.333, 0.793], [0.333, 0.667, 0.875], [0.000, 0.000, 0.000]], "space_group": "C2/m, No. 12", "dos_ef_per_ev_cell": 6.0, "final_energy_ev_per_atom": -5.395, "formation_energy_uncorrected_ev_per_fu": -12.3, "crystal_system": "monoclinic"}

---

{"formula": "PrPuPtBr", "functional": "PBE", "state": "optimized geometry", "lattice_angstrom": [[-2.952, 2.788, 0.776], [0.021, -2.042, -3.594], [-2.546, -6.839, 3.870]], "species": ["Pu", "Pt", "Pr", "Br"], "fractional_positions": [[0.103, 0.950, 0.068], [0.306, 0.551, 0.872], [0.500, 0.148, 0.664], [0.968, 0.382, 0.365]], "space_group": "R3m, No. 160", "dos_ef_per_ev_cell": 13.3, "final_energy_ev_per_atom": -7.727, "formation_energy_uncorrected_ev_per_fu": -4.1, "crystal_system": "trigonal"}

---

{"formula": "Pr8Pt3RhBr4", "functional": "PBE", "state": "optimized geometry", "lattice_angstrom": [[-5.685, 6.233, -0.863], [-5.627, -4.317, 5.891], [7.846, 1.759, 2.686]], "species": ["Rh", "Pr", "Pr", "Pr", "Pr", "Br", "Br", "Br", "Pt", "Pt", "Br", "Pr", "Pt", "Pr", "Pr", "Pr"], "fractional_positions": [[0.000, 0.500, 0.000], [0.230, 0.698, 0.967], [0.770, 0.302, 0.539], [0.230, 0.698, 0.461], [0.263, 0.302, 0.033], [0.000, 0.000, 0.000], [0.500, 0.000, 0.500], [0.500, 0.000, 0.000], [0.500, 0.500, 0.500], [0.000, 0.500, 0.500], [0.000, 0.000, 0.500], [0.770, 0.302, 0.033], [0.500, 0.500, 0.000], [0.733, 0.698, 0.465], [0.267, 0.302, 0.535], [0.737, 0.698, 0.967]], "space_group": "R-3m, No. 166", "dos_ef_per_ev_cell": 10.9, "final_energy_ev_per_atom": -5.599, "formation_energy_uncorrected_ev_per_fu": -19.2, "crystal_system": "trigonal"}

---

{"formula": "Pr6PtRh2Br3", "functional": "PBE", "state": "optimized geometry", "lattice_angstrom": [[7.259, 0.000, 0.001], [-3.628, 6.288, 0.001], [-1.210, -2.095, 7.859]], "species": ["Pt", "Rh", "Br", "Pr", "Pr", "Rh", "Br", "Pr", "Pr", "Pr", "Br", "Pr"], "fractional_positions": [[0.000, 0.000, 0.000], [0.333, 0.667, 0.000], [0.832, 0.168, 0.500], [0.405, 0.066, 0.197], [0.274, 0.274, 0.803], [0.667, 0.333, 0.000], [0.500, 0.500, 0.500], [0.595, 0.934, 0.803], [0.066, 0.405, 0.197], [0.726, 0.726, 0.197], [0.168, 0.832, 0.500], [0.934, 0.595, 0.803]], "space_group": "C2/m, No. 12", "dos_ef_per_ev_cell": 5.9, "final_energy_ev_per_atom": -5.664, "formation_energy_uncorrected_ev_per_fu": -13.5, "crystal_system": "monoclinic"}

---

{"formula": "Pr6Ru2PtBr3", "functional": "PBE", "state": "optimized geometry", "lattice_angstrom": [[7.202, -0.002, 0.001], [-3.601, 6.238, 0.001], [-1.199, -2.077, 7.910]], "species": ["Br", "Pt", "Pr", "Br", "Pr", "Pr", "Pr", "Pr", "Br", "Pr", "Ru", "Ru"], "fractional_positions": [[0.169, 0.831, 0.500], [0.000, 0.000, 0.000], [0.411, 0.066, 0.198], [0.831, 0.169, 0.500], [0.720, 0.720, 0.197], [0.934, 0.589, 0.802], [0.280, 0.280, 0.803], [0.589, 0.934, 0.802], [0.500, 0.500, 0.500], [0.066, 0.411, 0.198], [0.333, 0.667, 0.000], [0.667, 0.333, 0.000]], "space_group": "C2/m, No. 12", "dos_ef_per_ev_cell": 4.3, "final_energy_ev_per_atom": -5.811, "formation_energy_uncorrected_ev_per_fu": -11.4, "crystal_system": "monoclinic"}

---

{"formula": "Pr8PtS3Br4", "functional": "PBE", "state": "optimized geometry", "lattice_angstrom": [[8.323, 0.000, 0.000], [0.000, 8.839, 0.359], [-4.161, -4.158, 5.887]], "species": ["Pr", "Pr", "Pr", "S", "Br", "S", "Pt", "Pr", "Pr", "Pr", "Br", "Br", "Pr", "S", "Br", "Pr"], "fractional_positions": [[0.269, 0.293, 0.031], [0.238, 0.707, 0.476], [0.267, 0.301, 0.534], [0.000, 0.500, 0.500], [0.500, 0.000, 0.500], [0.500, 0.500, 0.500], [0.000, 0.500, 0.000], [0.238, 0.707, 0.969], [0.762, 0.293, 0.031], [0.733, 0.699, 0.466], [0.500, 0.000, 0.000], [0.000, 0.000, 0.000], [0.731, 0.707, 0.969], [0.500, 0.500, 0.000], [0.000, 0.000, 0.500], [0.762, 0.293, 0.524]], "space_group": "R-3m, No. 166", "dos_ef_per_ev_cell": 12.8, "final_energy_ev_per_atom": -5.454, "formation_energy_uncorrected_ev_per_fu": -23.9, "crystal_system": "trigonal"}

---

{"formula": "Pr8Pt3SBr4", "functional": "PBE", "state": "optimized geometry", "lattice_angstrom": [[8.499, 0.000, 0.000], [0.000, 9.014, 0.362], [-4.250, -4.249, 6.011]], "species": ["Pr", "Br", "Pr", "Pr", "Pr", "Pt", "Pt", "Pr", "Br", "S", "Br", "Pt", "Br", "Pr", "Pr", "Pr"], "fractional_positions": [[0.763, 0.292, 0.526], [0.500, 0.000, 0.500], [0.265, 0.292, 0.028], [0.735, 0.708, 0.972], [0.763, 0.292, 0.028], [0.500, 0.500, 0.000], [0.500, 0.500, 0.500], [0.268, 0.303, 0.536], [0.500, 0.000, 0.000], [0.000, 0.500, 0.000], [0.000, 0.000, 0.000], [0.000, 0.500, 0.500], [0.000, 0.000, 0.500], [0.237, 0.708, 0.474], [0.732, 0.697, 0.464], [0.237, 0.708, 0.972]], "space_group": "R-3m, No. 166", "dos_ef_per_ev_cell": 14.2, "final_energy_ev_per_atom": -5.499, "formation_energy_uncorrected_ev_per_fu": -20.8, "crystal_system": "trigonal"}